A geometry-optimized YNiP2 structure, computed with PBE.

Calculated values
As for the symmetry: Pm, No. 6.

Cell and atoms, written as extended XYZ:
```
4
Lattice="-0.298 -2.409 3.494 1.843 -3.024 -1.928 3.812 1.325 1.238" Properties=species:S:1:pos:R:3 pbc="T T T"
Ni 4.533 -2.959 0.936
P 1.046 -0.988 1.998
P 3.733 1.245 1.176
Y 2.682 -0.931 -0.413
```

A geometry-optimized YNi3P structure, computed with PBE.

Calculated values
As for the symmetry: Pm-3m, No. 221. The energy above the most stable polymorph in this dataset is 0.0 meV/atom.

Cell and atoms, written as extended XYZ:
```
5
Lattice="4.265 0.000 0.000 0.000 4.265 0.000 0.000 0.000 4.265" Properties=species:S:1:pos:R:3 pbc="T T T"
P 0.000 0.000 0.000
Ni 2.133 0.000 0.000
Ni 0.000 2.133 0.000
Ni 0.000 0.000 2.133
Y 2.133 2.133 2.133
```

A geometry-optimized Y2NiP structure, computed with PBE.

Calculated values
As for the symmetry: R-3m, No. 166.

Cell and atoms, written as extended XYZ:
```
4
Lattice="6.746 -1.975 -0.001 6.746 1.975 -0.001 6.169 0.000 3.370" Properties=species:S:1:pos:R:3 pbc="T T T"
Ni 0.000 0.000 0.000
Y 4.891 0.000 0.838
Y 14.770 0.000 2.530
P 9.830 0.000 1.684
```

A geometry-optimized YNiP2 structure, computed with PBE.

Calculated values
As for the symmetry: P4/mmm, No. 123.

Cell and atoms, written as extended XYZ:
```
4
Lattice="3.281 0.000 0.000 0.000 3.281 0.000 0.000 0.000 5.942" Properties=species:S:1:pos:R:3 pbc="T T T"
Ni 1.641 1.641 4.456
P 0.000 0.000 5.548
P 0.000 0.000 3.365
Y 1.641 1.641 1.485
```

A geometry-optimized YNi3P3 structure, computed with PBE.

Calculated values
As for the symmetry: Pm-3n, No. 223.

Cell and atoms, written as extended XYZ:
```
14
Lattice="-5.867 0.461 1.654 -0.063 -5.942 1.434 1.716 1.359 5.707" Properties=species:S:1:pos:R:3 pbc="T T T"
Ni -2.981 -4.226 1.902
Ni 0.397 -2.631 2.144
Ni -2.949 -1.255 1.185
Ni -0.609 0.795 3.267
Ni -3.542 1.026 4.094
Ni 1.255 -1.952 4.997
P -4.432 -2.625 1.957
P -2.504 0.570 2.254
P -1.646 1.250 5.107
P 0.842 -0.806 3.212
P 0.811 -3.777 3.929
P -1.498 -2.856 1.130
Y 0.000 0.000 0.000
Y -2.107 -2.061 4.398
```

A geometry-optimized YNiP2 structure, computed with PBE.

Calculated values
As for the symmetry: Cm, No. 8.

Cell and atoms, written as extended XYZ:
```
4
Lattice="-1.122 -1.044 -5.243 2.012 -2.924 -4.153 -2.296 -3.180 1.118" Properties=species:S:1:pos:R:3 pbc="T T T"
P 0.837 -3.736 -8.846
P -1.658 -6.015 -5.599
Y -0.682 -3.670 -4.366
Ni 0.283 -1.270 -3.002
```

A geometry-optimized YNiP3 structure, computed with PBE.

Calculated values
As for the symmetry: Pm-3m, No. 221. The energy above the most stable polymorph in this dataset is 1374.7 meV/atom.

Cell and atoms, written as extended XYZ:
```
5
Lattice="5.197 0.000 0.000 0.000 5.197 0.000 0.000 0.000 5.197" Properties=species:S:1:pos:R:3 pbc="T T T"
Y 0.000 0.000 0.000
Ni 2.599 2.599 2.599
P 0.000 2.599 0.000
P 2.599 0.000 0.000
P 0.000 0.000 2.599
```

A geometry-optimized YNiP2 structure, computed with PBE.

Calculated values
As for the symmetry: Imm2, No. 44.

Cell and atoms, written as extended XYZ:
```
4
Lattice="-0.064 -5.443 -2.480 1.090 -5.391 2.353 -2.910 5.183 0.673" Properties=species:S:1:pos:R:3 pbc="T T T"
Y 0.474 -5.009 -0.058
P 0.076 -0.800 -0.009
P -1.225 -2.903 -0.936
Ni -0.697 -2.355 1.487
```

A geometry-optimized YNiP2 structure, computed with PBE.

Calculated values
As for the symmetry: Cmmm, No. 65.

Cell and atoms, written as extended XYZ:
```
4
Lattice="-1.107 -5.590 -4.089 2.746 0.324 3.206 -1.238 -3.136 1.377" Properties=species:S:1:pos:R:3 pbc="T T T"
P 0.000 0.000 0.000
P -1.172 -4.363 -1.356
Y 0.754 -1.406 2.291
Ni 0.820 -2.633 -0.442
```

A geometry-optimized YNi4P2 structure, computed with PBE.

Calculated values
As for the symmetry: R-3m, No. 166. The energy above the most stable polymorph in this dataset is 84.7 meV/atom.

Cell and atoms, written as extended XYZ:
```
7
Lattice="-2.020 -0.290 3.298 -0.038 -3.345 1.963 5.120 0.919 5.497" Properties=species:S:1:pos:R:3 pbc="T T T"
Ni 2.644 0.011 3.900
Ni 0.418 -2.726 6.858
Ni 0.332 -1.798 4.606
Ni 2.731 -0.917 6.152
Y 0.000 0.000 0.000
P 0.828 -0.656 2.730
P 2.234 -2.059 8.028
```

A geometry-optimized YNiP2 structure, computed with PBE.

Calculated values
As for the symmetry: Cmmm, No. 65.

Cell and atoms, written as extended XYZ:
```
4
Lattice="-1.712 -3.078 0.854 2.456 1.180 2.390 -4.368 3.233 2.894" Properties=species:S:1:pos:R:3 pbc="T T T"
Y -0.720 -0.141 2.345
P -4.104 3.037 2.719
P -2.448 1.812 1.622
Ni -2.904 1.476 3.792
```

A geometry-optimized Y2Ni12P7 structure, computed with PBE.

Calculated values
As for the symmetry: P-3, No. 147. The energy above the most stable polymorph in this dataset is 5.0 meV/atom.

Cell and atoms, written as extended XYZ:
```
21
Lattice="-1.198 2.438 -2.510 -3.183 -6.803 -5.089 -5.312 3.845 6.270" Properties=species:S:1:pos:R:3 pbc="T T T"
Ni -3.685 -0.893 -0.470
Ni -2.583 -3.408 -3.440
Ni -3.385 3.112 0.550
Ni -6.007 0.373 -0.859
Ni -6.308 -3.632 -1.879
Ni -2.468 0.647 -2.308
Ni -5.449 3.043 4.221
Ni -7.225 -1.167 0.979
Ni -4.243 -3.563 -5.550
Ni -2.013 0.804 0.405
Ni -7.680 -1.323 -1.734
Ni -7.110 2.889 2.111
P -3.996 1.389 -0.836
P -5.697 -1.909 -0.494
P -2.186 -1.727 -1.992
P -5.002 3.782 1.969
P -0.599 1.219 -1.255
P -7.507 1.207 0.663
P -4.690 -4.302 -3.298
Y -4.903 0.908 1.853
Y -4.790 -1.428 -3.182
```

Per-record calculated formation energy, eV per atom: -0.7276, -0.4927, -0.8079, -0.3467, -0.5666, -0.7227, 1.1960, -0.5771, -0.4520, -0.7423, -0.5781, -0.7629